Entry 1:
KZrAl: optimized geometry, PBE.

* calculated volume: 34.21 A^3/atom
* E_form: -0.003 eV/atom
* E_tot: -4.466 eV/atom
* energy above the lowest structure with this stoichiometry: 0.007 eV per formula unit
* DOS at the Fermi energy: 9.2 states/eV per cell

Cell: 25.512 4.369 3.716 Å, 90.00 97.64 90.00°
Space group Cm (No. 8)
Unique sites:
K (0.000, 0.000, 0.000) (multiplicity 2)
K (0.159, 0.500, 0.673) (multiplicity 2)
Zr (0.283, 0.000, 0.297) (multiplicity 2)
Zr (0.378, 0.000, 0.884) (multiplicity 2)
Al (0.295, 0.500, 0.807) (multiplicity 2)
Al (0.372, 0.500, 0.378) (multiplicity 2)

---

Entry 2:
KZrAl: optimized geometry, PBE.

* calculated volume: 31.38 A^3/atom
* E_form: 0.013 eV/atom
* E_tot: -4.450 eV/atom
* energy above the lowest structure with this stoichiometry: 0.054 eV per formula unit
* DOS at the Fermi energy: 6.2 states/eV per cell

Cell: 3.332 4.200 13.457 Å, 90.00 91.57 90.00°
Space group P2_1/m (No. 11)
Unique sites:
K (0.210, 0.250, 0.155) (multiplicity 2)
Zr (0.242, 0.250, 0.432) (multiplicity 2)
Al (0.268, 0.250, 0.653) (multiplicity 2)

---

Entry 3:
KZr2Al2: optimized geometry, PBE.

* calculated volume: 23.75 A^3/atom
* E_form: 0.022 eV/atom
* E_tot: -5.114 eV/atom
* DOS at the Fermi energy: 9.4 states/eV per cell

Cell: 8.958 8.958 2.960 Å, 90.00 90.00 90.00°
Space group P4/mbm (No. 127)
Unique sites:
K (0.000, 0.000, 0.000) (multiplicity 2)
Zr (0.123, 0.377, 0.000) (multiplicity 4)
Al (0.168, 0.668, 0.500) (multiplicity 4)

---

Entry 4:
KZrAl: optimized geometry, PBE.

* calculated volume: 31.92 A^3/atom
* E_form: 0.308 eV/atom
* E_tot: -4.155 eV/atom
* energy above the lowest structure with this stoichiometry: 0.938 eV per formula unit
* DOS at the Fermi energy: 14.6 states/eV per cell

Cell: 5.339 5.218 13.750 Å, 90.00 90.00 90.00°
Space group Pnma (No. 62)
Unique sites:
K (0.240, 0.250, 0.030) (multiplicity 4)
Zr (0.014, 0.250, 0.744) (multiplicity 4)
Al (0.243, 0.250, 0.287) (multiplicity 4)